Ca3Cd7Ga2: relaxed, PBE.

```
12
Lattice="-5.494 2.235 0.935 -3.376 -2.113 4.494 0.665 6.530 7.581" Properties=species:S:1:pos:R:3 pbc="T T T"
Cd -4.102 3.326 6.505
Cd -6.314 2.797 4.595
Cd -4.690 4.994 8.892
Cd -5.235 0.582 6.408
Cd -2.970 6.070 6.602
Cd -1.890 3.855 8.415
Cd -3.515 1.658 4.118
Ga -5.898 0.108 3.643
Ga -2.306 6.544 9.367
Ca -0.886 3.751 5.109
Ca -7.319 2.901 7.901
Ca 0.000 0.000 0.000
```

Calculated values
Space group: R-3m
Density of states at the Fermi level in states/eV/cell: 6.1
Formation energy from the elements in eV/atom: -0.25